# 1
CaBeFe: optimized geometry, PBE-GGA.

Computed properties:
Symmetry: F-43m
Crystal system: cubic
Energy relative to the lowest polymorph listed for this composition, eV/atom: 1.1418
Formation energy, meV per atom: 1460
Mass density, g/cm3: 2.5

```
CaBeFe
1.0
6.5019 0.0000 0.0000
0.0000 6.5019 0.0000
0.0000 0.0000 6.5019
Ca Be Fe
4 4 4
Direct
0.0000 0.0000 0.0000 Ca
0.0000 0.5000 0.5000 Ca
0.5000 0.0000 0.5000 Ca
0.5000 0.5000 0.0000 Ca
0.2500 0.2500 0.2500 Be
0.2500 0.7500 0.7500 Be
0.7500 0.2500 0.7500 Be
0.7500 0.7500 0.2500 Be
0.2500 0.2500 0.7500 Fe
0.2500 0.7500 0.2500 Fe
0.7500 0.2500 0.2500 Fe
0.7500 0.7500 0.7500 Fe
```

# 2
CaBe2Fe: optimized geometry, PBE-GGA.

Computed properties:
Symmetry: Fm-3m
Crystal system: cubic
Energy relative to the lowest polymorph listed for this composition, eV/atom: 0.5153
Formation energy, meV per atom: 635
Mass density, g/cm3: 3.5

```
CaBe2Fe
1.0
6.0311 0.0000 0.0000
0.0000 6.0311 0.0000
0.0000 0.0000 6.0311
Ca Be Fe
4 8 4
Direct
0.0000 0.0000 0.0000 Ca
0.0000 0.5000 0.5000 Ca
0.5000 0.0000 0.5000 Ca
0.5000 0.5000 0.0000 Ca
0.2500 0.2500 0.2500 Be
0.2500 0.2500 0.7500 Be
0.2500 0.7500 0.2500 Be
0.2500 0.7500 0.7500 Be
0.7500 0.2500 0.2500 Be
0.7500 0.2500 0.7500 Be
0.7500 0.7500 0.2500 Be
0.7500 0.7500 0.7500 Be
0.0000 0.0000 0.5000 Fe
0.0000 0.5000 0.0000 Fe
0.5000 0.0000 0.0000 Fe
0.5000 0.5000 0.5000 Fe
```

# 3
CaBe2Fe: optimized geometry, PBE-GGA.

Computed properties:
Symmetry: I4_1/amd
Crystal system: tetragonal
Energy relative to the lowest polymorph listed for this composition, eV/atom: 0.3770
Formation energy, meV per atom: 497
Mass density, g/cm3: 2.8

```
CaBe2Fe
1.0
4.2306 0.0000 0.0000
0.0000 4.2306 0.0000
0.0000 0.0000 15.2679
Ca Be Fe
4 8 4
Direct
0.0000 0.2500 0.3750 Ca
0.0000 0.7500 0.6250 Ca
0.5000 0.2500 0.1250 Ca
0.5000 0.7500 0.8750 Ca
0.0000 0.0000 0.0000 Be
0.0000 0.5000 0.0000 Be
0.2500 0.2500 0.7500 Be
0.2500 0.7500 0.2500 Be
0.5000 0.0000 0.5000 Be
0.5000 0.5000 0.5000 Be
0.7500 0.2500 0.7500 Be
0.7500 0.7500 0.2500 Be
0.0000 0.2500 0.8750 Fe
0.0000 0.7500 0.1250 Fe
0.5000 0.2500 0.6250 Fe
0.5000 0.7500 0.3750 Fe
```

Please write out number 2 again, unchanged.
CaBe2Fe: optimized geometry, PBE-GGA.

Computed properties:
Symmetry: Fm-3m
Crystal system: cubic
Energy relative to the lowest polymorph listed for this composition, eV/atom: 0.5153
Formation energy, meV per atom: 635
Mass density, g/cm3: 3.5

```
CaBe2Fe
1.0
6.0311 0.0000 0.0000
0.0000 6.0311 0.0000
0.0000 0.0000 6.0311
Ca Be Fe
4 8 4
Direct
0.0000 0.0000 0.0000 Ca
0.0000 0.5000 0.5000 Ca
0.5000 0.0000 0.5000 Ca
0.5000 0.5000 0.0000 Ca
0.2500 0.2500 0.2500 Be
0.2500 0.2500 0.7500 Be
0.2500 0.7500 0.2500 Be
0.2500 0.7500 0.7500 Be
0.7500 0.2500 0.2500 Be
0.7500 0.2500 0.7500 Be
0.7500 0.7500 0.2500 Be
0.7500 0.7500 0.7500 Be
0.0000 0.0000 0.5000 Fe
0.0000 0.5000 0.0000 Fe
0.5000 0.0000 0.0000 Fe
0.5000 0.5000 0.5000 Fe
```